Record 1
Below is a relaxed LaMn2SiBi crystal, with properties calculated at the GGA-PBE level.

a b c (Å): 4.6679 5.6702 4.6679
angles (deg): 90.00 90.00 90.00
With the nearest neighbours (Å) after each atom.
Positions (direct):
Si 0.0000 0.0000 0.0000  4 Mn 2.33
Mn 0.0000 0.0000 0.5000  2 Si 2.33
Mn 0.5000 0.0000 0.0000  2 Si 2.33
Bi 0.0000 0.5000 0.0000  2 Si 2.84
La 0.5000 0.5000 0.5000  4 Bi 3.30, 8 Mn 3.67

## Properties
Crystal system: tetragonal
Final energy: -0.23145 hartree per atom
Formation energy (no corrections): 1.080 eV per formula unit

Record 2
Below is a relaxed LaTaMnBi2 crystal, with properties calculated at the GGA-PBE level.

a b c (Å): 5.3962 4.6429 5.3962
angles (deg): 90.00 90.00 90.00
With the nearest neighbours (Å) after each atom.
Positions (direct):
La 0.5000 0.5000 0.5000  8 Bi 3.56, 4 Ta 3.82
Bi 0.0000 0.0000 0.5000  2 Mn 2.70
Bi 0.5000 0.0000 0.0000  2 Mn 2.70
Mn 0.0000 0.0000 0.0000  2 Ta 2.32
Ta 0.0000 0.5000 0.0000  2 Mn 2.32

## Properties
Crystal system: tetragonal
Final energy: -0.23328 hartree per atom
Energy relative to the elements: 394.3 meV per atom

Record 3
Below is a relaxed LaBiMo3 crystal, with properties calculated at the GGA-PBE level.

a b c (Å): 4.8979 4.8979 4.8979
angles (deg): 90.00 90.00 90.00
With the nearest neighbours (Å) after each atom.
Positions (direct):
Mo 0.0000 0.5000 0.0000  2 La 2.45
Mo 0.0000 0.0000 0.5000  2 La 2.45
Mo 0.5000 0.0000 0.0000  2 La 2.45
Bi 0.5000 0.5000 0.5000  12 Mo 3.46
La 0.0000 0.0000 0.0000  6 Mo 2.45

## Properties
Crystal system: cubic
Final energy: -0.22643 hartree per atom
Energy relative to the elements: 2098.8 meV per atom

Record 4
Below is a relaxed LaBi2Mo crystal, with properties calculated at the GGA-PBE level.

a b c (Å): 5.2374 5.2374 5.2374
angles (deg): 60.00 60.00 60.00
With the nearest neighbours (Å) after each atom.
Positions (direct):
Mo 0.0000 0.0000 0.0000  8 Bi 3.21
Bi 0.2500 0.2500 0.2500  4 La 3.21, 4 Mo 3.21
Bi 0.7500 0.7500 0.7500  4 La 3.21, 4 Mo 3.21
La 0.5000 0.5000 0.5000  8 Bi 3.21

## Properties
Distance to the lowest polymorph of the same formula: 0 meV/atom
Crystal system: cubic
Final energy: -0.21432 hartree per atom
Energy relative to the elements: 48.3 meV per atom

Record 5
Below is a relaxed LaBi2Mo crystal, with properties calculated at the GGA-PBE level.

a b c (Å): 5.2964 5.2964 10.0461
angles (deg): 74.72 74.72 90.00
With the nearest neighbours (Å) after each atom.
Positions (direct):
Mo 0.5000 0.5000 0.0000  4 Bi 2.80
Mo 0.2500 0.7500 0.5000  4 Bi 2.80
Bi 0.5258 0.1250 0.2500  2 Mo 2.80, 2 Bi 3.09
Bi 0.2242 0.6250 0.2500  2 Mo 2.80, 2 Bi 3.09
Bi 0.3750 0.4742 0.7500  2 Mo 2.80, 2 Bi 3.09
Bi 0.8750 0.7758 0.7500  2 Mo 2.80, 2 Bi 3.09
La 0.0000 0.0000 0.0000  4 Bi 3.26
La 0.7500 0.2500 0.5000  4 Bi 3.26

## Properties
Distance to the lowest polymorph of the same formula: 452 meV/atom
Crystal system: tetragonal
Final energy: -0.19772 hartree per atom
Energy relative to the elements: 500.0 meV per atom

Record 6
Below is a relaxed La3BiMo crystal, with properties calculated at the GGA-PBE level.

a b c (Å): 5.4954 5.4954 5.4954
angles (deg): 90.00 90.00 90.00
With the nearest neighbours (Å) after each atom.
Positions (direct):
Mo 0.0000 0.0000 0.0000  6 La 2.75
Bi 0.5000 0.5000 0.5000  12 La 3.89
La 0.0000 0.5000 0.0000  2 Mo 2.75
La 0.0000 0.0000 0.5000  2 Mo 2.75
La 0.5000 0.0000 0.0000  2 Mo 2.75

## Properties
Crystal system: cubic
Final energy: -0.22229 hartree per atom
Energy relative to the elements: -150.0 meV per atom

Record 7
Below is a relaxed LaBi2TeMo crystal, with properties calculated at the GGA-PBE level.

a b c (Å): 5.3160 5.5914 5.3160
angles (deg): 90.00 90.00 90.00
With the nearest neighbours (Å) after each atom.
Positions (direct):
Mo 0.0000 0.0000 0.0000  4 Bi 2.66, 2 La 2.80
Te 0.5000 0.5000 0.5000  4 La 3.76, 8 Bi 3.86
Bi 0.0000 0.0000 0.5000  2 Mo 2.66
Bi 0.5000 0.0000 0.0000  2 Mo 2.66
La 0.0000 0.5000 0.0000  2 Mo 2.80

## Properties
Crystal system: tetragonal
Final energy: -0.19842 hartree per atom
Formation energy (no corrections): -0.334 eV per formula unit

Record 8
Below is a relaxed LaV2BiMo crystal, with properties calculated at the GGA-PBE level.

a b c (Å): 5.1117 6.1139 5.1117
angles (deg): 90.00 90.00 90.00
With the nearest neighbours (Å) after each atom.
Positions (direct):
Mo 0.5000 0.5000 0.5000  4 La 3.61, 8 V 3.98
V 0.0000 0.0000 0.5000  2 Bi 2.56
V 0.5000 0.0000 0.0000  2 Bi 2.56
Bi 0.0000 0.0000 0.0000  4 V 2.56
La 0.0000 0.5000 0.0000  2 Bi 3.06

## Properties
Crystal system: tetragonal
Final energy: -0.21222 hartree per atom
Energy relative to the elements: 1800.4 meV per atom

Record 9
Below is a relaxed LaBi3N crystal, with properties calculated at the GGA-PBE level.

a b c (Å): 6.2321 6.2321 6.2321
angles (deg): 90.00 90.00 90.00
With the nearest neighbours (Å) after each atom.
Positions (direct):
N 0.5000 0.5000 0.5000  12 Bi 4.41
Bi 0.0000 0.5000 0.0000  2 La 3.12
Bi 0.0000 0.0000 0.5000  2 La 3.12
Bi 0.5000 0.0000 0.0000  2 La 3.12
La 0.0000 0.0000 0.0000  6 Bi 3.12

## Properties
Distance to the lowest polymorph of the same formula: 1391 meV/atom
Crystal system: cubic
Final energy: -0.13114 hartree per atom
Formation energy (no corrections): 7.053 eV per formula unit

Record 10
Below is a relaxed La4Bi3N crystal, with properties calculated at the GGA-PBE level.

a b c (Å): 6.6373 8.9697 10.3721
angles (deg): 90.00 90.00 90.00
With the nearest neighbours (Å) after each atom.
Positions (direct):
La 0.0697 0.9072 0.0000  1 N 2.50
La 0.6349 0.1864 0.0000  1 N 2.35
La 0.0717 0.3025 0.2071  1 N 2.48
La 0.5717 0.6975 0.2929  1 N 2.48
La 0.1349 0.8136 0.5000  1 N 2.35
La 0.5697 0.0928 0.5000  1 N 2.50
La 0.5717 0.6975 0.7071  1 N 2.48
La 0.0717 0.3025 0.7929  1 N 2.48
Bi 0.5590 0.8391 0.0000  5 La 3.16-3.44
Bi 0.0598 0.6621 0.2286  5 La 3.17-3.48
Bi 0.5598 0.3379 0.2714  5 La 3.17-3.48
Bi 0.0590 0.1609 0.5000  5 La 3.16-3.44
Bi 0.5598 0.3379 0.7286  5 La 3.17-3.48
Bi 0.0598 0.6621 0.7714  5 La 3.17-3.48
N 0.9885 0.1792 0.0000  4 La 2.35-2.50
N 0.4885 0.8208 0.5000  4 La 2.35-2.50

## Properties
Crystal system: orthorhombic
Final energy: -0.21433 hartree per atom
Formation energy (no corrections): -6.981 eV per formula unit

Record 11
Below is a relaxed La3Bi3N crystal, with properties calculated at the GGA-PBE level.

a b c (Å): 4.3333 9.8550 20.2440
angles (deg): 90.00 90.00 90.00
With the nearest neighbours (Å) after each atom.
Positions (direct):
La 0.7500 0.0042 0.8744  2 N 2.51
La 0.2500 0.4958 0.3744  2 N 2.51
La 0.2500 0.9958 0.1256  2 N 2.51
La 0.7500 0.5042 0.6256  2 N 2.51
La 0.7500 0.8330 0.2625  1 N 2.32
La 0.2500 0.6670 0.7625  1 N 2.32
La 0.2500 0.1670 0.7375  1 N 2.32
La 0.7500 0.3330 0.2375  1 N 2.32
La 0.7500 0.6763 0.0891  1 N 2.32
La 0.2500 0.8237 0.5891  1 N 2.32
La 0.2500 0.3237 0.9109  1 N 2.32
La 0.7500 0.1763 0.4109  1 N 2.32
Bi 0.7500 0.9065 0.7160  1 Bi 3.33, 7 La 3.34-3.46
Bi 0.2500 0.5935 0.2160  1 Bi 3.33, 7 La 3.34-3.46
Bi 0.2500 0.0935 0.2840  1 Bi 3.33, 7 La 3.34-3.46
Bi 0.7500 0.4065 0.7840  1 Bi 3.33, 7 La 3.34-3.46
Bi 0.7500 0.1657 0.0217  2 Bi 3.29, 5 La 3.38-3.49
Bi 0.2500 0.3343 0.5217  2 Bi 3.29, 5 La 3.38-3.49
Bi 0.2500 0.8343 0.9783  2 Bi 3.29, 5 La 3.38-3.49
Bi 0.7500 0.6657 0.4783  2 Bi 3.29, 5 La 3.38-3.49
Bi 0.7500 0.1301 0.5926  3 Bi 3.29-3.33, 2 La 3.66
Bi 0.2500 0.3699 0.0926  3 Bi 3.29-3.33, 2 La 3.66
Bi 0.2500 0.8699 0.4074  3 Bi 3.29-3.33, 2 La 3.66
Bi 0.7500 0.6301 0.9074  3 Bi 3.29-3.33, 2 La 3.66
N 0.7500 0.8766 0.1497  4 La 2.32-2.51
N 0.2500 0.6234 0.6497  4 La 2.32-2.51
N 0.2500 0.1234 0.8503  4 La 2.32-2.51
N 0.7500 0.3766 0.3503  4 La 2.32-2.51

## Properties
Crystal system: orthorhombic
Final energy: -0.21904 hartree per atom
Formation energy (no corrections): -6.971 eV per formula unit

Record 12
Below is a relaxed La4Bi2N crystal, with properties calculated at the GGA-PBE level.

a b c (Å): 6.8654 6.9680 9.8391
angles (deg): 90.00 109.59 90.00
With the nearest neighbours (Å) after each atom.
Positions (direct):
La 0.5253 0.4906 0.2915  1 N 2.30
La 0.1665 0.7500 0.9645  1 N 2.32
La 0.8335 0.2500 0.0355  1 N 2.32
La 0.5253 0.0094 0.2915  1 N 2.30
La 0.9227 0.2500 0.6596  1 N 2.32
La 0.4747 0.9906 0.7085  1 N 2.30
La 0.4747 0.5094 0.7085  1 N 2.30
La 0.0773 0.7500 0.3404  1 N 2.32
Bi 0.7039 0.7500 0.0315  7 La 3.25-3.59
Bi 0.2961 0.2500 0.9685  7 La 3.25-3.59
Bi 0.1596 0.2500 0.4029  8 La 3.43-3.56
Bi 0.8404 0.7500 0.5971  8 La 3.43-3.56
N 0.3091 0.7500 0.2146  4 La 2.30-2.32
N 0.6909 0.2500 0.7854  4 La 2.30-2.32

## Properties
Distance to the lowest polymorph of the same formula: 0 meV/atom
Crystal system: monoclinic
Final energy: -0.22464 hartree per atom
Formation energy (no corrections): -6.992 eV per formula unit

Calculated ρ, 6.530, 9.737, 8.984, 10.671, 8.291, 7.220, 8.201, 5.672, 5.350, 6.435, 8.126, 7.396 g/cm³ (same order as the records).
Calculated V, 24.7, 27.0, 23.5, 25.4, 32.7, 33.2, 31.6, 32.0, 48.4, 38.6, 30.9, 31.7 Å³ per atom (same order as the records).
Calculated spin magnetization, 1.344, 0.196, 0.001, 0.000, 0.000, 0.000, 0.000, 1.903, 0.577, 0.000, 0.000, 0.000 μB/atom (same order as the records).